DFT (GGA-PBE) results for a geometry-optimized SnAsW4N2 structure.

Geometry as POSCAR:
```
SnAsW4N2
1.0
3.016 0.000 0.000
-1.508 2.612 0.000
0.000 0.000 13.959
Sn As W N
1 1 4 2
direct
0.000 0.000 0.000
0.333 0.667 0.500
0.000 0.000 0.358
0.000 0.000 0.642
0.333 0.667 0.168
0.333 0.667 0.832
0.667 0.333 0.261
0.667 0.333 0.739
```

Values from the calculation:
The symmetry is P-6m2, No. 187. As for the calculated volume: 13.7 Å³/atom. The value obtained for the total energy is -9.265 eV/atom.